i) Computed, not measured: an optimized crystal structure of PrPaTe2 at the PBE-GGA level of DFT.

Results
- Fermi-level density of states (states/eV per atom) = 1.791

a = 8.5520 Å, b = 4.0385 Å, c = 7.1107 Å
α = 90.00°, β = 90.00°, γ = 90.00°
Space group Pmma (No. 51)
Unique sites:
Pr 0.0000 0.0000 0.0000 [2 per cell]
Pa 0.0000 0.5000 0.5000 [2 per cell]
Te 0.2500 0.0000 0.3424 [2 per cell]
Te 0.2500 0.5000 0.8203 [2 per cell]

ii) Computed, not measured: an optimized crystal structure of PrPaTe2 at the PBE-GGA level of DFT.

Results
- Fermi-level density of states (states/eV per atom) = 1.630

a = 3.8094 Å, b = 3.8094 Å, c = 7.6596 Å
α = 90.00°, β = 90.00°, γ = 90.00°
Space group P4/mmm (No. 123)
Unique sites:
Pr 0.0000 0.0000 0.0000 [1 per cell]
Pa 0.0000 0.0000 0.5000 [1 per cell]
Te 0.5000 0.5000 0.2636 [2 per cell]

Of them, ii) has the highest stability.

i) Computed, not measured: an optimized crystal structure of Pr2Pa2Te7 at the PBE-GGA level of DFT.

Results
- Fermi-level density of states (states/eV per atom) = 0.732

a = 4.3369 Å, b = 16.2384 Å, c = 9.8739 Å
α = 90.00°, β = 90.00°, γ = 90.00°
Space group Imm2 (No. 44)
Unique sites:
Pr 0.0000 0.2374 0.0000 [4 per cell]
Pa 0.0000 0.0000 0.7688 [2 per cell]
Pa 0.0000 0.5000 0.8179 [2 per cell]
Te 0.0000 0.0000 0.0804 [2 per cell]
Te 0.0000 0.1054 0.4921 [4 per cell]
Te 0.0000 0.3231 0.7072 [4 per cell]
Te 0.0000 0.3645 0.3072 [4 per cell]

ii) Computed, not measured: an optimized crystal structure of Pr2Pa2Te7 at the PBE-GGA level of DFT.

Results
- Fermi-level density of states (states/eV per atom) = 0.887

a = 9.0994 Å, b = 13.7472 Å, c = 8.0494 Å
α = 90.00°, β = 96.20°, γ = 90.00°
Space group C2/m (No. 12)
Unique sites:
Pr 0.0000 0.1872 0.0000 [4 per cell]
Pa 0.2047 0.0000 0.6125 [4 per cell]
Te 0.0000 0.5000 0.5000 [2 per cell]
Te 0.0944 0.0000 0.2371 [4 per cell]
Te 0.2368 0.3051 0.2338 [8 per cell]

Of them, i) has the highest stability.